Arrangement w

# LiPm2Au3

A geometry-optimized LiPm2Au3 structure (PBE-GGA, Alexandria).

Values from the calculation:
- V: 22.94 Å³/atom
- Space group: P-3m1 (164)
- Magnetization: 0.0 Bohr magnetons per cell

a = 5.1193 Å, b = 5.1193 Å, c = 12.1306 Å
α = 90.00°, β = 90.00°, γ = 120.00°
With the nearest neighbours (Å) after each atom.
Sites, in units of the cell vectors:
Au (0.6667, 0.3333, 0.0832)  1 Li 3.01, 7 Pm 3.12-3.30
Au (0.3333, 0.6667, 0.9168)  1 Li 3.01, 7 Pm 3.12-3.30
Au (0.0000, 0.0000, 0.2488)  5 Pm 3.02-3.05, 3 Li 3.12
Au (0.0000, 0.0000, 0.7512)  5 Pm 3.02-3.05, 3 Li 3.12
Au (0.3333, 0.6667, 0.4416)  1 Li 2.75, 4 Pm 3.04-3.06
Au (0.6667, 0.3333, 0.5584)  1 Li 2.75, 4 Pm 3.04-3.06
Pm (0.6667, 0.3333, 0.8110)  8 Au 3.04-3.30
Pm (0.0000, 0.0000, 0.0000)  8 Au 3.02-3.12
Pm (0.0000, 0.0000, 0.5000)  8 Au 3.04-3.05
Pm (0.3333, 0.6667, 0.1890)  8 Au 3.04-3.30
Li (0.3333, 0.6667, 0.6686)  2 Au 2.75-3.01
Li (0.6667, 0.3333, 0.3314)  2 Au 2.75-3.01

---

Arrangement x

# LiPm2Au3

A geometry-optimized LiPm2Au3 structure (PBE-GGA, Alexandria).

Values from the calculation:
- V: 22.36 Å³/atom
- Space group: P4/mmm (123)
- Magnetization: 0.0 Bohr magnetons per cell

a = 3.6183 Å, b = 3.6183 Å, c = 10.2454 Å
α = 90.00°, β = 90.00°, γ = 90.00°
With the nearest neighbours (Å) after each atom.
Sites, in units of the cell vectors:
Au (0.0000, 0.0000, 0.6381)  1 Au 2.83, 4 Li 2.92, 4 Pm 3.13
Au (0.0000, 0.0000, 0.0000)  8 Pm 3.19
Au (0.0000, 0.0000, 0.3619)  1 Au 2.83, 4 Li 2.92, 4 Pm 3.13
Pm (0.5000, 0.5000, 0.1861)  8 Au 3.13-3.19, 1 Li 3.22
Pm (0.5000, 0.5000, 0.8139)  8 Au 3.13-3.19, 1 Li 3.22
Li (0.5000, 0.5000, 0.5000)  8 Au 2.92, 2 Pm 3.22

---

Short version: arrangement x is the least stable of them.